## LaZn2Te2 (PBE-GGA)

Data for a geometry-optimized LaZn2Te2 structure.

- E above lowest polymorph: 3.3 kJ per mole of atoms
- Electronic total energy: -3.30 eV per atom
- ΔE_f (raw): -2.76 eV per formula unit

Structure (extended XYZ):
```
5
Lattice="4.034 0.000 0.000 0.000 4.034 0.000 2.017 2.017 8.535" Properties=species:S:1:pos:R:3 pbc="T T T"
Zn 4.034 2.017 4.267
La 0.000 0.000 0.000
Te 4.034 4.034 6.818
Zn 2.017 4.034 4.267
Te 2.017 2.017 1.717
```